1.
The following is a PBE-GGA calculation of an optimized crystal structure of Tb2TmIn, from the Alexandria database.

Spin magnetization   0.8 μB per formula unit
DOS(E_F)   1.615 states/eV per atom
Energy of formation from the pure elements   -0.6 eV/f.u.
Crystal system   cubic
Energy above the lowest structure with this stoichiometry   123 meV/atom

Cell lengths 7.6912, 7.6912, 7.6912 Å; angles 90.00, 90.00, 90.00 degrees
Space group Fm-3m (No. 225)
Inequivalent atoms, fractional coordinates:
Tb1 0.2500 0.2500 0.2500
Tm1 0.0000 0.0000 0.0000
In1 0.0000 0.0000 0.5000

2.
The following is a PBE-GGA calculation of an optimized crystal structure of TbTmIn, from the Alexandria database.

Spin magnetization   0.0 μB per formula unit
DOS(E_F)   1.564 states/eV per atom
Energy of formation from the pure elements   -0.7 eV/f.u.
Crystal system   tetragonal
Energy above the lowest structure with this stoichiometry   76 meV/atom

Cell lengths 4.5834, 4.5834, 8.3052 Å; angles 90.00, 90.00, 90.00 degrees
Space group P4/nmm (No. 129, origin choice 2)
Inequivalent atoms, fractional coordinates:
Tb1 0.2500 0.7500 0.0000
Tm1 0.2500 0.2500 0.3532
In1 0.2500 0.2500 0.7252

3.
The following is a PBE-GGA calculation of an optimized crystal structure of Tb5TmIn4, from the Alexandria database.

Spin magnetization   0.0 μB per formula unit
DOS(E_F)   0.738 states/eV per atom
Energy of formation from the pure elements   -3.8 eV/f.u.
Crystal system   tetragonal

Cell lengths 3.5781, 3.5781, 21.7356 Å; angles 90.00, 90.00, 90.00 degrees
Space group P4/mmm (No. 123)
Inequivalent atoms, fractional coordinates:
Tb1 0.0000 0.0000 0.0000
Tb2 0.0000 0.0000 0.1939
Tb3 0.0000 0.0000 0.3871
Tm1 0.5000 0.5000 0.5000
In1 0.5000 0.5000 0.0969
In2 0.5000 0.5000 0.2906

4.
The following is a PBE-GGA calculation of an optimized crystal structure of TbTmIn, from the Alexandria database.

Spin magnetization   0.1 μB per formula unit
DOS(E_F)   1.247 states/eV per atom
Energy of formation from the pure elements   -0.8 eV/f.u.
Crystal system   orthorhombic
Energy above the lowest structure with this stoichiometry   61 meV/atom

Cell lengths 3.5196, 4.5306, 10.3545 Å; angles 90.00, 90.00, 90.00 degrees
Space group Imm2 (No. 44)
Inequivalent atoms, fractional coordinates:
Tb1 0.0000 0.0000 0.0000
Tm1 0.0000 0.0000 0.3133
In1 0.0000 0.0000 0.6606

Which formula does entry 2 have?
TbTmIn

Which formula does entry 4 have?
TbTmIn

Which formula does entry 3 have?
Tb5TmIn4